[1]
Material: Y3AlN
Method: DFT, GGA-PBE
State: optimized geometry

```
10
Lattice="-1.693 5.459 6.353 1.693 -5.459 6.353 1.693 5.459 -6.353" Properties=species:S:1:pos:R:3 pbc="T T T"
Y 0.000 0.000 1.816
Y 1.693 -1.628 4.522
Y 0.000 3.831 1.831
Y 1.693 1.628 4.522
Y 0.000 7.086 1.831
Y 0.000 0.000 10.891
Al 1.693 1.936 0.000
Al 0.000 3.523 6.353
N 0.000 0.000 4.119
N 0.000 0.000 8.588
```

## Properties
**Formation energy without anion corrections**: -3.54 eV/f.u.

---

[2]
Material: ZrCoCuPd
Method: DFT, GGA-PBE
State: optimized geometry

```
4
Lattice="0.000 3.104 3.104 3.104 0.000 3.104 3.104 3.104 0.000" Properties=species:S:1:pos:R:3 pbc="T T T"
Zr 0.000 0.000 0.000
Co 4.656 4.656 4.656
Cu 3.104 3.104 3.104
Pd 1.552 1.552 1.552
```

## Properties
**Energy relative to the elements**: -25.1 kJ per mole of atoms